[1]
A geometry-optimized SrIr2RuC structure, computed with PBE. Values from VASP.

Calculated values
calculated formation energy	1.10	eV/atom
E_tot	-6.483	eV/atom
space group	P4/mmm (123)

Cell and atoms, written as Quantum ESPRESSO input:
```
&SYSTEM
  ibrav = 0, nat = 5, ntyp = 4
/
ATOMIC_SPECIES
Ru 101.07 Ru.upf
C 12.01 C.upf
Ir 192.22 Ir.upf
Sr 87.62 Sr.upf
CELL_PARAMETERS angstrom
4.919 0.000 0.000
0.000 3.988 0.000
0.000 0.000 4.919
ATOMIC_POSITIONS angstrom
Ru 0.000 0.000 0.000
C 0.000 1.994 0.000
Ir 0.000 0.000 2.459
Ir 2.459 0.000 0.000
Sr 2.459 1.994 2.459
```

---

[2]
A geometry-optimized Y2IrRuC structure, computed with PBE. Values from VASP.

Calculated values
calculated formation energy	-0.38	eV/atom
E_tot	-8.440	eV/atom
space group	P4/mmm (123)

Cell and atoms, written as Quantum ESPRESSO input:
```
&SYSTEM
  ibrav = 0, nat = 5, ntyp = 4
/
ATOMIC_SPECIES
Y 88.91 Y.upf
Ru 101.07 Ru.upf
C 12.01 C.upf
Ir 192.22 Ir.upf
CELL_PARAMETERS angstrom
-1.112 4.488 -1.610
-4.155 -1.722 -1.932
-1.833 0.728 3.295
ATOMIC_POSITIONS angstrom
Y -2.078 -0.861 -0.966
Y -0.556 2.244 -0.805
Ru -0.917 0.364 1.647
C 0.000 0.000 0.000
Ir -3.550 1.747 -0.123
```

---

[3]
A geometry-optimized ZrIrRu2C structure, computed with PBE. Values from VASP.

Calculated values
calculated formation energy	-0.29	eV/atom
E_tot	-9.325	eV/atom
space group	P4/mmm (123)

Cell and atoms, written as Quantum ESPRESSO input:
```
&SYSTEM
  ibrav = 0, nat = 5, ntyp = 4
/
ATOMIC_SPECIES
Ru 101.07 Ru.upf
C 12.01 C.upf
Ir 192.22 Ir.upf
Zr 91.22 Zr.upf
CELL_PARAMETERS angstrom
4.138 0.000 0.000
0.000 4.138 0.000
0.000 0.000 4.094
ATOMIC_POSITIONS angstrom
Ru 0.000 2.069 0.000
Ru 2.069 0.000 0.000
C 0.000 0.000 0.000
Ir 0.000 0.000 2.047
Zr 2.069 2.069 2.047
```

---

[4]
A geometry-optimized ZrIr2RuC structure, computed with PBE. Values from VASP.

Calculated values
calculated formation energy	2.32	eV/atom
E_tot	-6.635	eV/atom
space group	P4/mmm (123)

Cell and atoms, written as Quantum ESPRESSO input:
```
&SYSTEM
  ibrav = 0, nat = 5, ntyp = 4
/
ATOMIC_SPECIES
Ru 101.07 Ru.upf
C 12.01 C.upf
Ir 192.22 Ir.upf
Zr 91.22 Zr.upf
CELL_PARAMETERS angstrom
4.633 0.000 0.000
0.000 4.970 0.000
0.000 0.000 4.633
ATOMIC_POSITIONS angstrom
Ru 0.000 0.000 0.000
C 2.317 2.485 2.317
Ir 0.000 0.000 2.317
Ir 2.317 0.000 0.000
Zr 0.000 2.485 0.000
```